# Sc8HC4S GGA-PBE relaxed
data_Sc8HC4S
_chemical_formula_sum 'Sc8 H1 C4 S1'
_symmetry_space_group_name_H-M 'P 1'
_symmetry_Int_Tables_number 1
_cell_length_a 6.773
_cell_length_b 6.773
_cell_length_c 6.773
_cell_angle_alpha 62.41
_cell_angle_beta 62.41
_cell_angle_gamma 62.41
loop_
_symmetry_equiv_pos_as_xyz
'x,y,z'
loop_
_atom_site_label
_atom_site_type_symbol
_atom_site_fract_x
_atom_site_fract_y
_atom_site_fract_z
Sc1 Sc 0.000 0.000 0.000
Sc2 Sc 0.008 0.008 0.429
Sc3 Sc 0.008 0.429 0.008
Sc4 Sc 0.008 0.491 0.491
Sc5 Sc 0.429 0.008 0.008
Sc6 Sc 0.483 0.483 0.483
Sc7 Sc 0.491 0.008 0.491
Sc8 Sc 0.491 0.491 0.008
H1 H 0.232 0.232 0.232
C1 C 0.238 0.238 0.736
C2 C 0.238 0.736 0.238
C3 C 0.622 0.622 0.622
C4 C 0.736 0.238 0.238
S1 S 0.846 0.846 0.846
# Space group ... R3m (160)
# DFT total energy ... -7.296 eV per atom
# DOS at the Fermi energy ... 0.65 states/eV per atom